No. 1
A plane-wave DFT calculation with GGA-PBEsol was carried out for crystalline Mg13Al16 at its relaxed geometry.

a = 8.975 Å, b = 8.975 Å, c = 8.975 Å
α = 109.47°, β = 109.47°, γ = 109.47°
Sites, in units of the cell vectors:
Mg  0.590  0.590  0.283
Mg  0.283  0.590  0.590
Mg  0.590  0.283  0.590
Mg  0.308  0.308  0.717
Mg  0.000  0.692  0.410
Mg  0.692  0.000  0.410
Mg  0.692  0.410  0.000
Mg  0.000  0.410  0.692
Mg  0.308  0.717  0.308
Mg  0.410  0.692  0.000
Mg  0.717  0.308  0.308
Mg  0.410  0.000  0.692
Mg  0.000  0.000  0.000
Al  0.634  0.634  0.819
Al  0.819  0.634  0.634
Al  0.634  0.819  0.634
Al  0.815  0.815  0.181
Al  0.000  0.185  0.366
Al  0.185  0.000  0.366
Al  0.185  0.366  0.000
Al  0.000  0.366  0.185
Al  0.815  0.181  0.815
Al  0.366  0.185  0.000
Al  0.181  0.815  0.815
Al  0.366  0.000  0.185
Al  0.327  0.327  0.327
Al  0.000  0.000  0.673
Al  0.000  0.673  0.000
Al  0.673  0.000  0.000

Calculated values
* space-group type: No. 217
* energy of formation from the pure elements: 0.03 eV per atom
* E_tot: -87.039 eV/cell
* total moment: 0.0 μB/cell

No. 2
A plane-wave DFT calculation with GGA-PBEsol was carried out for crystalline MgAl at its relaxed geometry.

a = 3.363 Å, b = 3.363 Å, c = 3.363 Å
α = 90.00°, β = 90.00°, γ = 90.00°
Sites, in units of the cell vectors:
Mg  0.000  0.000  0.000
Al  0.500  0.500  0.500

Calculated values
* space-group type: No. 221
* energy of formation from the pure elements: 0.07 eV per atom
* E_tot: -5.669 eV/cell
* total moment: 0.0 μB/cell

No. 3
A plane-wave DFT calculation with GGA-PBEsol was carried out for crystalline MgAl at its relaxed geometry.

a = 2.999 Å, b = 2.999 Å, c = 5.206 Å
α = 73.26°, β = 73.26°, γ = 60.00°
Sites, in units of the cell vectors:
Mg  0.500  0.500  0.500
Al  0.000  0.000  0.000

Calculated values
* space-group type: No. 166
* energy of formation from the pure elements: 0.04 eV per atom
* E_tot: -5.728 eV/cell
* total moment: 0.0 μB/cell

No. 4
A plane-wave DFT calculation with GGA-PBEsol was carried out for crystalline MgAl at its relaxed geometry.

a = 3.000 Å, b = 3.000 Å, c = 4.881 Å
α = 90.00°, β = 90.00°, γ = 120.00°
Sites, in units of the cell vectors:
Mg  0.000  0.000  0.500
Al  0.667  0.333  0.000

Calculated values
* space-group type: No. 187
* energy of formation from the pure elements: 0.05 eV per atom
* E_tot: -5.704 eV/cell
* total moment: 0.0 μB/cell

No. 5
A plane-wave DFT calculation with GGA-PBEsol was carried out for crystalline Mg3Al at its relaxed geometry.

a = 4.423 Å, b = 4.423 Å, c = 5.258 Å
α = 114.87°, β = 114.87°, γ = 90.00°
Sites, in units of the cell vectors:
Mg  0.500  0.500  0.000
Mg  0.250  0.750  0.500
Mg  0.750  0.250  0.500
Al  0.000  0.000  0.000

Calculated values
* space-group type: No. 139
* energy of formation from the pure elements: 0.02 eV per atom
* E_tot: -9.164 eV/cell
* total moment: 0.0 μB/cell

No. 6
A plane-wave DFT calculation with GGA-PBEsol was carried out for crystalline Mg3Al at its relaxed geometry.

a = 4.355 Å, b = 4.355 Å, c = 4.355 Å
α = 90.00°, β = 90.00°, γ = 90.00°
Sites, in units of the cell vectors:
Mg  0.500  0.500  0.000
Mg  0.500  0.000  0.500
Mg  0.000  0.500  0.500
Al  0.000  0.000  0.000

Calculated values
* space-group type: No. 221
* energy of formation from the pure elements: 0.01 eV per atom
* E_tot: -9.208 eV/cell
* total moment: 0.0 μB/cell